VASP calculation (PBE+U) on a relaxed structure of FeIN2F.

POSCAR file:
```
FeIN2F
1.0
4.099 0.000 0.000
0.000 4.099 0.000
0.000 0.000 3.894
Fe I N F
1 1 2 1
Direct
0.000 0.000 0.000
0.500 0.500 0.500
0.000 0.500 0.000
0.500 0.000 0.000
0.000 0.000 0.500
```

Summary:
E_tot: -4.41 eV/atom
size of the total moment: 4.30 μB per cell
space-group type: P4/mmm, No. 123
energy above the most stable polymorph in this dataset: 0 meV/atom